Record 1
## KAcSO (PBE)

Data for a relaxed KAcSO crystal.

a b c (Å): 4.1157 4.1157 21.1400
angles (deg): 90.00 90.00 120.00
Space group R3m (No. 160, hexagonal axes)
Unique sites:
K 0.0000 0.0000 0.0000 [3 per cell]
Ac 0.0000 0.0000 0.5127 [3 per cell]
S 0.0000 0.0000 0.7588 [3 per cell]
O 0.0000 0.0000 0.2242 [3 per cell]

## Properties
mass density = 5.0 g cm⁻³
crystal system = trigonal
total magnetic moment = 0.000 μB/f.u.
ΔE_f (raw) = -2.187 eV per atom

Record 2
## KAc2SbO6 (PBE)

Data for a relaxed KAc2SbO6 crystal.

a b c (Å): 5.775 5.775 5.644
angles (deg): 90.00 90.00 90.00
Space group P4mm (No. 99)
Unique sites:
K 0.000 0.000 0.000 [1 per cell]
Ac 0.000 0.500 0.460 [2 per cell]
Sb 0.500 0.500 0.080 [1 per cell]
O 0.000 0.000 0.555 [1 per cell]
O 0.275 0.275 0.207 [4 per cell]
O 0.500 0.500 0.734 [1 per cell]

## Properties
mass density = 6.3 g cm⁻³
crystal system = tetragonal
total magnetic moment = 0.031 μB/f.u.
ΔE_f (raw) = -2.279 eV per atom

Record 3
## K4Ac3SbO8 (PBE)

Data for a relaxed K4Ac3SbO8 crystal.

a b c (Å): 7.5633 7.5633 19.0408
angles (deg): 90.00 90.00 120.00
Space group R-3m (No. 166, hexagonal axes)
Unique sites:
K 0.0000 0.0000 0.0000 [3 per cell]
K 0.0000 0.5000 0.0000 [9 per cell]
Ac 0.0000 0.5000 0.5000 [9 per cell]
Sb 0.0000 0.0000 0.5000 [3 per cell]
O 0.0000 0.0000 0.2322 [6 per cell]
O 0.0115 0.5057 0.2319 [18 per cell]

## Properties
mass density = 5.7 g cm⁻³
crystal system = trigonal
total magnetic moment = 0.000 μB/f.u.
ΔE_f (raw) = -2.227 eV per atom

Record 4
## KAcSbO4 (PBE)

Data for a relaxed KAcSbO4 crystal.

a b c (Å): 6.819 7.629 10.063
angles (deg): 90.00 90.00 90.00
Space group Imma (No. 74)
Unique sites:
K 0.250 0.250 0.250 [4 per cell]
Ac 0.000 0.000 0.000 [4 per cell]
Sb 0.000 0.250 0.636 [4 per cell]
O 0.000 0.037 0.752 [8 per cell]
O 0.248 0.250 0.984 [8 per cell]

## Properties
mass density = 5.7 g cm⁻³
crystal system = orthorhombic
total magnetic moment = 0.000 μB/f.u.
ΔE_f (raw) = -1.952 eV per atom

Record 5
## KAc2SbO5 (PBE)

Data for a relaxed KAc2SbO5 crystal.

a b c (Å): 7.259 7.259 6.437
angles (deg): 90.00 90.00 90.00
Space group P4/mbm (No. 127)
Unique sites:
K 0.000 0.000 0.000 [2 per cell]
Ac 0.180 0.320 0.500 [4 per cell]
Sb 0.000 0.500 0.000 [2 per cell]
O 0.000 0.000 0.500 [2 per cell]
O 0.138 0.638 0.254 [8 per cell]

## Properties
mass density = 6.8 g cm⁻³
crystal system = tetragonal
total magnetic moment = 0.000 μB/f.u.
ΔE_f (raw) = -2.283 eV per atom

Record 6
## K4AcSb3O12 (PBE)

Data for a relaxed K4AcSb3O12 crystal.

a b c (Å): 8.521 8.521 8.521
angles (deg): 90.00 90.00 90.00
Space group Im-3m (No. 229)
Unique sites:
K 0.250 0.250 0.250 [8 per cell]
Ac 0.000 0.000 0.000 [2 per cell]
Sb 0.000 0.000 0.500 [6 per cell]
O 0.000 0.000 0.277 [12 per cell]
O 0.000 0.250 0.500 [12 per cell]

## Properties
mass density = 5.0 g cm⁻³
crystal system = cubic
total magnetic moment = 2.101 μB/f.u.
ΔE_f (raw) = -1.618 eV per atom

Record 7
## K3Ac3SbO8 (PBE)

Data for a relaxed K3Ac3SbO8 crystal.

a b c (Å): 7.4719 7.4719 19.1504
angles (deg): 90.00 90.00 120.00
Space group R-3m (No. 166, hexagonal axes)
Unique sites:
K 0.0000 0.5000 0.0000 [9 per cell]
Ac 0.0000 0.5000 0.5000 [9 per cell]
Sb 0.0000 0.0000 0.5000 [3 per cell]
O 0.0000 0.0000 0.2318 [6 per cell]
O 0.0458 0.5229 0.2256 [18 per cell]

## Properties
mass density = 5.6 g cm⁻³
crystal system = trigonal
total magnetic moment = 0.000 μB/f.u.
ΔE_f (raw) = -2.312 eV per atom

Record 8
## K2AcSb2O7 (PBE)

Data for a relaxed K2AcSb2O7 crystal.

a b c (Å): 4.139 4.139 22.332
angles (deg): 90.00 90.00 90.00
Space group I4/mmm (No. 139)
Unique sites:
K 0.000 0.000 0.195 [4 per cell]
Ac 0.000 0.000 0.000 [2 per cell]
Sb 0.000 0.000 0.401 [4 per cell]
O 0.000 0.000 0.315 [4 per cell]
O 0.000 0.000 0.500 [2 per cell]
O 0.000 0.500 0.082 [8 per cell]

## Properties
mass density = 5.7 g cm⁻³
crystal system = tetragonal
total magnetic moment = 0.000 μB/f.u.
ΔE_f (raw) = -1.940 eV per atom

Record 9
## KAcSbO3 (PBE)

Data for a relaxed KAcSbO3 crystal.

a b c (Å): 14.760 4.290 7.733
angles (deg): 90.00 104.00 90.00
Space group C2/m (No. 12)
Unique sites:
K 0.153 0.000 0.076 [4 per cell]
Ac 0.151 0.000 0.559 [4 per cell]
Sb 0.010 0.500 0.746 [4 per cell]
O 0.004 0.000 0.705 [4 per cell]
O 0.154 0.500 0.789 [4 per cell]
O 0.181 0.500 0.389 [4 per cell]

## Properties
mass density = 6.1 g cm⁻³
crystal system = monoclinic
total magnetic moment = 0.000 μB/f.u.
ΔE_f (raw) = -2.043 eV per atom

Record 10
## K2AcSbO4 (PBE)

Data for a relaxed K2AcSbO4 crystal.

a b c (Å): 7.339 7.656 10.504
angles (deg): 90.00 90.00 90.00
Space group Imma (No. 74)
Unique sites:
K 0.000 0.000 0.000 [4 per cell]
K 0.250 0.250 0.250 [4 per cell]
Ac 0.000 0.000 0.500 [4 per cell]
Sb 0.250 0.250 0.750 [4 per cell]
O 0.000 0.038 0.738 [8 per cell]
O 0.222 0.250 0.524 [8 per cell]

## Properties
mass density = 5.5 g cm⁻³
crystal system = orthorhombic
total magnetic moment = 0.000 μB/f.u.
ΔE_f (raw) = -1.885 eV per atom

Record 11
## K2Ac2SbO6 (PBE)

Data for a relaxed K2Ac2SbO6 crystal.

a b c (Å): 6.443 11.009 6.702
angles (deg): 90.00 103.79 90.00
Space group C2/m (No. 12)
Unique sites:
K 0.000 0.149 0.000 [4 per cell]
Ac 0.000 0.336 0.500 [4 per cell]
Sb 0.000 0.000 0.500 [2 per cell]
O 0.189 0.153 0.672 [8 per cell]
O 0.234 0.000 0.317 [4 per cell]

## Properties
mass density = 5.4 g cm⁻³
crystal system = monoclinic
total magnetic moment = 0.000 μB/f.u.
ΔE_f (raw) = -2.179 eV per atom

Record 12
## KAcScO4 (PBE)

Data for a relaxed KAcScO4 crystal.

a b c (Å): 5.781 12.983 5.970
angles (deg): 90.00 90.00 90.00
Space group Cmcm (No. 63)
Unique sites:
K 0.000 0.099 0.250 [4 per cell]
Ac 0.000 0.385 0.250 [4 per cell]
Sc 0.000 0.262 0.750 [4 per cell]
O 0.000 0.101 0.750 [4 per cell]
O 0.000 0.428 0.750 [4 per cell]
O 0.250 0.250 0.000 [8 per cell]

## Properties
mass density = 5.6 g cm⁻³
crystal system = orthorhombic
total magnetic moment = 1.020 μB/f.u.
ΔE_f (raw) = -2.643 eV per atom